Entry 1:
This record from Alexandria describes crystalline HoTiBr2 at its relaxed geometry. The functional is PBE.

Properties
volume: 98 Å³ per cell
total DFT energy (no corrections): -4.504 eV/atom
formation energy from raw total energies: -0.549 eV/atom

a = 3.466 Å, b = 3.466 Å, c = 9.674 Å
α = 79.68°, β = 79.68°, γ = 60.00°
Atoms (fractional coordinates):
1 Ho 0.000 0.000 0.000
2 Br 0.104 0.104 0.687
3 Br 0.896 0.896 0.313
4 Ti 0.500 0.500 0.500

Entry 2:
This record from Alexandria describes crystalline HoTl5Br8 at its relaxed geometry. The functional is PBE.

Properties
volume: 540 Å³ per cell
total DFT energy (no corrections): -3.274 eV/atom
formation energy from raw total energies: -1.146 eV/atom

a = 8.569 Å, b = 8.570 Å, c = 9.251 Å
α = 107.68°, β = 113.41°, γ = 104.09°
Atoms (fractional coordinates):
1 Ho 0.344 0.844 0.500
2 Tl 0.900 0.317 0.977
3 Tl 0.730 0.568 0.569
4 Tl 0.340 0.923 0.022
5 Tl 0.551 0.551 0.001
6 Tl 0.999 0.161 0.431
7 Br 0.054 0.786 0.178
8 Br 0.253 0.475 0.371
9 Br 0.594 0.857 0.371
10 Br 0.116 0.465 0.793
11 Br 0.672 0.323 0.207
12 Br 0.104 0.882 0.629
13 Br 0.609 0.876 0.822
14 Br 0.486 0.223 0.629

Entry 3:
This record from Alexandria describes crystalline HoTl3Br6 at its relaxed geometry. The functional is PBE.

Properties
volume: 757 Å³ per cell
total DFT energy (no corrections): -3.456 eV/atom
formation energy from raw total energies: -1.284 eV/atom

a = 7.784 Å, b = 8.591 Å, c = 11.339 Å
α = 90.00°, β = 86.76°, γ = 90.00°
Atoms (fractional coordinates):
1 Ho 0.500 0.500 0.500
2 Ho 0.000 0.000 0.000
3 Tl 0.530 0.921 0.768
4 Tl 0.500 0.500 0.000
5 Tl 0.470 0.079 0.232
6 Tl 0.030 0.579 0.268
7 Tl 0.000 0.000 0.500
8 Tl 0.970 0.421 0.732
9 Br 0.702 0.168 0.955
10 Br 0.658 0.228 0.578
11 Br 0.634 0.439 0.270
12 Br 0.366 0.561 0.730
13 Br 0.342 0.772 0.422
14 Br 0.298 0.832 0.045
15 Br 0.202 0.332 0.455
16 Br 0.158 0.272 0.078
17 Br 0.134 0.061 0.770
18 Br 0.866 0.939 0.230
19 Br 0.842 0.728 0.922
20 Br 0.798 0.668 0.545

Entry 4:
This record from Alexandria describes crystalline HoTl2Br5 at its relaxed geometry. The functional is PBE.

Properties
volume: 609 Å³ per cell
total DFT energy (no corrections): -3.580 eV/atom
formation energy from raw total energies: -1.371 eV/atom

a = 7.963 Å, b = 9.538 Å, c = 10.137 Å
α = 64.27°, β = 66.87°, γ = 65.33°
Atoms (fractional coordinates):
1 Ho 0.950 0.783 0.315
2 Ho 0.952 0.283 0.815
3 Tl 0.634 0.469 0.318
4 Tl 0.265 0.098 0.312
5 Tl 0.579 0.969 0.818
6 Tl 0.325 0.598 0.812
7 Br 0.696 0.311 0.676
8 Br 0.038 0.548 0.185
9 Br 0.208 0.256 0.952
10 Br 0.317 0.811 0.176
11 Br 0.229 0.048 0.685
12 Br 0.584 0.756 0.452
13 Br 0.675 0.519 0.944
14 Br 0.862 0.019 0.444
15 Br 0.803 0.034 0.064
16 Br 0.098 0.534 0.564

Entry 5:
This record from Alexandria describes crystalline HoTmBr3 at its relaxed geometry. The functional is PBE.

Properties
volume: 373 Å³ per cell
total DFT energy (no corrections): -4.282 eV/atom
formation energy from raw total energies: -1.469 eV/atom

a = 3.858 Å, b = 10.236 Å, c = 11.520 Å
α = 56.93°, β = 80.36°, γ = 79.14°
Atoms (fractional coordinates):
1 Ho 0.430 0.181 0.959
2 Ho 0.570 0.819 0.041
3 Tm 0.082 0.092 0.743
4 Tm 0.918 0.908 0.257
5 Br 0.645 0.173 0.536
6 Br 0.355 0.827 0.464
7 Br 0.180 0.763 0.877
8 Br 0.820 0.237 0.123
9 Br 0.944 0.374 0.739
10 Br 0.056 0.626 0.261

Entry 6:
This record from Alexandria describes crystalline Ho2TmBr at its relaxed geometry. The functional is PBE.

Properties
volume: 115 Å³ per cell
total DFT energy (no corrections): -4.329 eV/atom
formation energy from raw total energies: -0.504 eV/atom

a = 3.617 Å, b = 3.617 Å, c = 10.360 Å
α = 79.95°, β = 79.95°, γ = 60.00°
Atoms (fractional coordinates):
1 Tm 0.500 0.500 0.500
2 Ho 0.743 0.743 0.770
3 Ho 0.257 0.257 0.230
4 Br 0.000 0.000 0.000

Entry 7:
This record from Alexandria describes crystalline HoUBr6 at its relaxed geometry. The functional is PBE.

Properties
volume: 291 Å³ per cell
total DFT energy (no corrections): -4.759 eV/atom
formation energy from raw total energies: -1.521 eV/atom

a = 7.172 Å, b = 7.172 Å, c = 7.738 Å
α = 62.39°, β = 62.41°, γ = 60.01°
Atoms (fractional coordinates):
1 Ho 0.000 0.000 0.000
2 U 0.500 0.500 0.500
3 Br 0.089 0.399 0.755
4 Br 0.756 0.089 0.755
5 Br 0.601 0.244 0.245
6 Br 0.244 0.911 0.245
7 Br 0.911 0.601 0.245
8 Br 0.399 0.756 0.755

Entry 8:
This record from Alexandria describes crystalline YHoBr6 at its relaxed geometry. The functional is PBE.

Properties
volume: 306 Å³ per cell
ΔE to the lowest computed polymorph: 0 meV/atom
total DFT energy (no corrections): -4.474 eV/atom
formation energy from raw total energies: -1.839 eV/atom

a = 7.509 Å, b = 7.509 Å, c = 6.941 Å
α = 97.89°, β = 97.89°, γ = 124.94°
Atoms (fractional coordinates):
1 Y 0.000 0.000 0.000
2 Ho 0.500 0.500 0.500
3 Br 0.604 0.893 0.749
4 Br 0.893 0.604 0.749
5 Br 0.107 0.396 0.251
6 Br 0.396 0.107 0.251
7 Br 0.251 0.251 0.749
8 Br 0.749 0.749 0.251

Entry 9:
This record from Alexandria describes crystalline YHoBr at its relaxed geometry. The functional is PBE.

Properties
volume: 87 Å³ per cell
ΔE to the lowest computed polymorph: 0 meV/atom
total DFT energy (no corrections): -4.979 eV/atom
formation energy from raw total energies: -0.741 eV/atom

a = 3.721 Å, b = 3.721 Å, c = 7.235 Å
α = 90.00°, β = 90.00°, γ = 120.00°
Atoms (fractional coordinates):
1 Y 0.333 0.667 0.651
2 Ho 0.000 0.000 0.015
3 Br 0.667 0.333 0.334

Entry 10:
This record from Alexandria describes crystalline YHoBr6 at its relaxed geometry. The functional is PBE.

Properties
volume: 275 Å³ per cell
ΔE to the lowest computed polymorph: 19 meV/atom
total DFT energy (no corrections): -4.454 eV/atom
formation energy from raw total energies: -1.819 eV/atom

a = 7.043 Å, b = 7.044 Å, c = 7.575 Å
α = 62.30°, β = 62.30°, γ = 60.00°
Atoms (fractional coordinates):
1 Y 0.000 0.000 0.000
2 Ho 0.500 0.500 0.500
3 Br 0.094 0.408 0.749
4 Br 0.749 0.094 0.749
5 Br 0.592 0.251 0.251
6 Br 0.251 0.906 0.251
7 Br 0.906 0.592 0.251
8 Br 0.408 0.749 0.749

Entry 11:
This record from Alexandria describes crystalline YHoBr at its relaxed geometry. The functional is PBE.

Properties
volume: 182 Å³ per cell
ΔE to the lowest computed polymorph: 115 meV/atom
total DFT energy (no corrections): -4.865 eV/atom
formation energy from raw total energies: -0.626 eV/atom

a = 3.627 Å, b = 6.262 Å, c = 9.941 Å
α = 57.36°, β = 79.49°, γ = 73.16°
Atoms (fractional coordinates):
1 Y 0.870 0.826 0.434
2 Y 0.130 0.174 0.566
3 Ho 0.375 0.465 0.785
4 Ho 0.625 0.535 0.215
5 Br 0.864 0.197 0.075
6 Br 0.136 0.803 0.925

Entry 12:
This record from Alexandria describes crystalline HoZn3Br9 at its relaxed geometry. The functional is PBE.

Properties
volume: 916 Å³ per cell
total DFT energy (no corrections): -2.933 eV/atom
formation energy from raw total energies: -1.129 eV/atom

a = 9.410 Å, b = 10.424 Å, c = 11.507 Å
α = 75.20°, β = 65.87°, γ = 63.17°
Atoms (fractional coordinates):
1 Ho 0.019 0.498 0.006
2 Ho 0.476 0.998 0.506
3 Zn 0.815 0.550 0.671
4 Zn 0.965 0.050 0.171
5 Zn 0.991 0.951 0.833
6 Zn 0.226 0.451 0.333
7 Zn 0.590 0.245 0.718
8 Zn 0.447 0.745 0.218
9 Br 0.320 0.191 0.330
10 Br 0.158 0.691 0.830
11 Br 0.365 0.302 0.927
12 Br 0.407 0.802 0.427
13 Br 0.167 0.087 0.707
14 Br 0.040 0.587 0.207
15 Br 0.719 0.749 0.062
16 Br 0.470 0.249 0.562
17 Br 0.822 0.937 0.375
18 Br 0.867 0.437 0.875
19 Br 0.573 0.783 0.698
20 Br 0.946 0.283 0.198
21 Br 0.486 0.495 0.231
22 Br 0.788 0.995 0.731
23 Br 0.747 0.398 0.589
24 Br 0.266 0.898 0.089
25 Br 0.817 0.072 0.031
26 Br 0.081 0.572 0.531